No. 1
A plane-wave DFT calculation with PBE was carried out for a relaxed structure of La4PmDy2Mg.

Lattice parameters (Å, degrees): 5.882 5.887 7.861 90.00 90.00 90.00
Atoms (fractional coordinates):
La  0.000  0.000  0.234
La  0.000  0.000  0.766
La  0.500  0.500  0.235
La  0.500  0.500  0.765
Pm  0.000  0.500  0.500
Dy  0.000  0.500  0.000
Dy  0.500  0.000  0.500
Mg  0.500  0.000  0.000

Output
- Size of the total moment: 0.000 μB/atom
- D(E_F): 1.2085 states/eV/atom
- Uncorrected energy: -4.37 eV per atom
- Energy relative to the elements: 4.0 kJ per mole of atoms

No. 2
A plane-wave DFT calculation with PBE was carried out for a relaxed structure of NdThSe2.

Lattice parameters (Å, degrees): 7.955 7.955 7.955 29.43 29.43 29.43
Atoms (fractional coordinates):
Nd  0.000  0.000  0.000
Th  0.828  0.828  0.828
Se  0.413  0.413  0.413
Se  0.581  0.581  0.581

Output
- Size of the total moment: 0.000 μB/atom
- Raw formation energy: -1.626 eV/atom
- D(E_F): 0.7453 states/eV/atom
- Distance to the lowest polymorph of the same formula: 53.7 meV per atom
- Uncorrected energy: -6.41 eV per atom

No. 3
A plane-wave DFT calculation with PBE was carried out for a relaxed structure of AlPb2N.

Lattice parameters (Å, degrees): 4.935 4.935 4.935 60.00 60.00 60.00
Atoms (fractional coordinates):
Al  0.000  0.000  0.000
Pb  0.250  0.250  0.250
Pb  0.750  0.750  0.750
N  0.500  0.500  0.500

Output
- Size of the total moment: 0.000 μB/atom
- Raw formation energy: 1.075 eV/atom
- D(E_F): 0.7152 states/eV/atom
- Distance to the lowest polymorph of the same formula: 423.6 meV per atom
- Uncorrected energy: -3.80 eV per atom

No. 4
A plane-wave DFT calculation with PBE was carried out for a relaxed structure of RbCa3Fe.

Lattice parameters (Å, degrees): 5.719 5.719 5.719 90.00 90.00 90.00
Atoms (fractional coordinates):
Rb  0.000  0.000  0.000
Ca  0.000  0.500  0.500
Ca  0.500  0.000  0.500
Ca  0.500  0.500  0.000
Fe  0.500  0.500  0.500

Output
- Size of the total moment: 0.279 μB/atom
- D(E_F): 0.6628 states/eV/atom
- Distance to the lowest polymorph of the same formula: 0.0 meV per atom
- Uncorrected energy: -2.71 eV per atom
- Energy relative to the elements: 36.5 kJ per mole of atoms

No. 5
A plane-wave DFT calculation with PBE was carried out for a relaxed structure of Ac4Ga3Pt5.

Lattice parameters (Å, degrees): 7.622 7.622 11.315 124.64 124.64 35.84
Atoms (fractional coordinates):
Ac  0.029  0.029  0.304
Ac  0.259  0.259  0.742
Ac  0.741  0.741  0.258
Ac  0.971  0.971  0.696
Ga  0.000  0.000  0.000
Ga  0.308  0.308  0.074
Ga  0.692  0.692  0.926
Pt  0.304  0.304  0.487
Pt  0.417  0.417  0.352
Pt  0.500  0.500  0.000
Pt  0.583  0.583  0.648
Pt  0.696  0.696  0.513

Output
- Size of the total moment: 0.000 μB/atom
- D(E_F): 0.4201 states/eV/atom
- Uncorrected energy: -5.51 eV per atom
- Energy relative to the elements: -83.7 kJ per mole of atoms

No. 6
A plane-wave DFT calculation with PBE was carried out for a relaxed structure of Pr2Sm3Tl2.

Lattice parameters (Å, degrees): 11.860 11.860 11.860 161.79 154.05 31.89
Atoms (fractional coordinates):
Pr  0.073  0.073  0.000
Pr  0.927  0.927  0.000
Sm  0.203  0.703  0.500
Sm  0.500  0.500  0.000
Sm  0.797  0.297  0.500
Tl  0.347  0.847  0.500
Tl  0.653  0.153  0.500

Output
- Size of the total moment: 0.000 μB/atom
- D(E_F): 0.8763 states/eV/atom
- Distance to the lowest polymorph of the same formula: 89.7 meV per atom
- Uncorrected energy: -4.18 eV per atom
- Energy relative to the elements: -11.1 kJ per mole of atoms

No. 7
A plane-wave DFT calculation with PBE was carried out for a relaxed structure of NaRe2Pt.

Lattice parameters (Å, degrees): 4.452 4.452 4.452 60.00 60.00 60.00
Atoms (fractional coordinates):
Na  0.000  0.000  0.000
Re  0.250  0.250  0.250
Re  0.750  0.750  0.750
Pt  0.500  0.500  0.500

Output
- Size of the total moment: 0.402 μB/atom
- D(E_F): 1.2549 states/eV/atom
- Distance to the lowest polymorph of the same formula: 0.0 meV per atom
- Uncorrected energy: -6.95 eV per atom
- Energy relative to the elements: 107.7 kJ per mole of atoms

No. 8
A plane-wave DFT calculation with PBE was carried out for a relaxed structure of LuZr2Ti.

Lattice parameters (Å, degrees): 4.501 4.501 4.508 90.00 90.00 90.00
Atoms (fractional coordinates):
Lu  0.000  0.000  0.000
Zr  0.000  0.500  0.500
Zr  0.500  0.000  0.500
Ti  0.500  0.500  0.000

Output
- Size of the total moment: 0.000 μB/atom
- D(E_F): 1.5706 states/eV/atom
- Distance to the lowest polymorph of the same formula: 21.2 meV per atom
- Uncorrected energy: -7.24 eV per atom
- Energy relative to the elements: 12.9 kJ per mole of atoms